1.
Computed, not measured: a relaxed structure of USi2Os4 at the PBE level of DFT.

abc: 3.9582 14.2174 3.9417
angles: 90.00 90.00 90.00
Closest atoms and distances in Å follow each position.
Space group Cmmm (No. 65)
Symmetry-distinct sites (fractional):
U  0.0000  0.0000  0.0000 [2 per cell]  8 Si 3.03, 8 Os 3.30-3.33
Si  0.0000  0.4177  0.5000 [4 per cell]  1 Si 2.34, 4 Os 2.47-2.48
Os  0.0000  0.1863  0.5000 [4 per cell]  2 Si 2.47, 4 Os 2.66-2.68
Os  0.0000  0.3117  0.0000 [4 per cell]  2 Si 2.48, 4 Os 2.64-2.66

## Properties
DOS at the Fermi energy, states/eV/f.u.: 8.52
Formation energy without anion corrections, eV per formula unit: -2.18
VASP energy, eV per formula unit: -69.24
Total magnetization, Bohr magnetons per cell: 5.114

2.
Computed, not measured: a relaxed structure of USi2Os2 at the PBE level of DFT.

abc: 4.1592 4.1592 9.5785
angles: 90.00 90.00 90.00
Closest atoms and distances in Å follow each position.
Space group I4/mmm (No. 139)
Symmetry-distinct sites (fractional):
U  0.0000  0.0000  0.0000 [2 per cell]  8 Os 3.17, 8 Si 3.17
Si  0.0000  0.0000  0.3757 [4 per cell]  1 Si 2.38, 4 Os 2.40
Os  0.0000  0.5000  0.2500 [4 per cell]  4 Si 2.40

## Properties
DOS at the Fermi energy, states/eV/f.u.: 4.66
Formation energy without anion corrections, eV per formula unit: -2.62
VASP energy, eV per formula unit: -47.22
Total magnetization, Bohr magnetons per cell: 2.841

3.
Computed, not measured: a relaxed structure of U2VSi2Os5 at the PBE level of DFT.

abc: 9.6525 9.6525 3.4841
angles: 90.00 90.00 90.00
Closest atoms and distances in Å follow each position.
Space group P4/mbm (No. 127)
Symmetry-distinct sites (fractional):
U  0.1762  0.3238  0.0000 [4 per cell]  3 Si 2.74-2.93, 6 Os 2.97-2.99
V  0.0000  0.0000  0.0000 [2 per cell]  8 Os 2.74
Si  0.1230  0.6230  0.0000 [4 per cell]  6 Os 2.42-2.45
Os  0.0000  0.5000  0.5000 [2 per cell]  4 Si 2.42
Os  0.0732  0.7937  0.5000 [8 per cell]  2 Si 2.45, 2 V 2.74

## Properties
DOS at the Fermi energy, states/eV/f.u.: 14.26
Formation energy without anion corrections, eV per formula unit: -1.74
VASP energy, eV per formula unit: -100.43
Total magnetization, Bohr magnetons per cell: 5.374

4.
Computed, not measured: a relaxed structure of UVSi2Os at the PBE level of DFT.

abc: 4.0504 4.0504 10.1128
angles: 90.00 90.00 90.00
Closest atoms and distances in Å follow each position.
Space group I-4m2 (No. 119)
Symmetry-distinct sites (fractional):
U  0.0000  0.0000  0.0000 [2 per cell]  8 Si 3.10, 4 Os 3.24, 4 V 3.24
V  0.0000  0.5000  0.2500 [2 per cell]  4 Si 2.43
Si  0.0000  0.0000  0.3834 [4 per cell]  1 Si 2.36, 2 Os 2.43, 2 V 2.43
Os  0.0000  0.5000  0.7500 [2 per cell]  4 Si 2.43

## Properties
DOS at the Fermi energy, states/eV/f.u.: 3.52
Formation energy without anion corrections, eV per formula unit: -2.25
VASP energy, eV per formula unit: -44.73
Total magnetization, Bohr magnetons per cell: 6.606

5.
Computed, not measured: a relaxed structure of U2Si2Os5W at the PBE level of DFT.

abc: 9.5781 9.5781 3.5861
angles: 90.00 90.00 90.00
Closest atoms and distances in Å follow each position.
Space group P4/mbm (No. 127)
Symmetry-distinct sites (fractional):
U  0.1781  0.3219  0.0000 [4 per cell]  3 Si 2.73-2.91, 6 Os 2.98-3.01
Si  0.1207  0.6207  0.0000 [4 per cell]  6 Os 2.43-2.47
Os  0.0000  0.5000  0.5000 [2 per cell]  4 Si 2.43
Os  0.0751  0.7916  0.5000 [8 per cell]  2 Si 2.47
W  0.0000  0.0000  0.0000 [2 per cell]  8 Os 2.78

## Properties
DOS at the Fermi energy, states/eV/f.u.: 11.79
Formation energy without anion corrections, eV per formula unit: -1.21
VASP energy, eV per formula unit: -103.73
Total magnetization, Bohr magnetons per cell: 3.905

6.
Computed, not measured: a relaxed structure of VSiOs2 at the PBE level of DFT.

abc: 2.9578 4.1781 8.6756
angles: 90.00 90.00 90.00
Closest atoms and distances in Å follow each position.
Space group Imm2 (No. 44)
Symmetry-distinct sites (fractional):
V  0.0000  0.0000  0.0000 [2 per cell]  2 Si 2.56, 6 Os 2.57-2.66
Si  0.0000  0.5000  0.2592 [2 per cell]  6 Os 2.50-2.56, 2 V 2.56
Os  0.0000  0.0000  0.5274 [2 per cell]  2 Si 2.50, 4 V 2.57, 2 Os 2.78
Os  0.0000  0.5000  0.7555 [2 per cell]  4 Si 2.56, 2 V 2.66, 2 Os 2.78

## Properties
DOS at the Fermi energy, states/eV/f.u.: 2.46
Formation energy without anion corrections, eV per formula unit: -0.99
VASP energy, eV per formula unit: -38.00
Total magnetization, Bohr magnetons per cell: 0.000

Q: The lowest formation energy without anion corrections belongs to which entry?
A: USi2Os2